#i
A relaxed LaSm2Au crystal, computed with PBE-GGA.

Results
The calculation puts the density of states at the Fermi level at 5.2 states/eV/cell. The calculated volume is 32.6 Å³/atom. For the total moment, the calculation gives 0.001 Bohr magnetons per cell. Its density is 8.099 Mg/m³. Its space-group type is R3m, No. 160.

The structure in POSCAR format:
```
LaSm2Au
1.0
1.934 1.117 10.068
-1.934 1.117 10.068
0.000 -2.234 10.068
La Sm Au
1 2 1
Direct
0.000 0.000 0.000 La
0.566 0.566 0.566 Sm
0.766 0.766 0.766 Sm
0.165 0.165 0.165 Au
```

***

#ii
A relaxed LaSm2Au crystal, computed with PBE-GGA.

Results
The calculation puts the density of states at the Fermi level at 18.2 states/eV/cell. The calculated volume is 31.2 Å³/atom. For the total moment, the calculation gives 0.000 Bohr magnetons per cell. Its density is 8.463 Mg/m³. Its space-group type is Pnma, No. 62.

The structure in POSCAR format:
```
LaSm2Au
1.0
7.167 0.000 0.000
0.000 10.272 0.000
0.000 0.000 6.787
La Sm Au
4 8 4
Direct
0.008 0.250 0.133 La
0.492 0.750 0.633 La
0.508 0.250 0.367 La
0.992 0.750 0.867 La
0.187 0.053 0.673 Sm
0.187 0.447 0.673 Sm
0.313 0.553 0.173 Sm
0.313 0.947 0.173 Sm
0.687 0.053 0.827 Sm
0.687 0.447 0.827 Sm
0.813 0.553 0.327 Sm
0.813 0.947 0.327 Sm
0.108 0.750 0.426 Au
0.392 0.250 0.926 Au
0.608 0.750 0.074 Au
0.892 0.250 0.574 Au
```

***

#iii
A relaxed LaSm2Au crystal, computed with PBE-GGA.

Results
The calculation puts the density of states at the Fermi level at 6.1 states/eV/cell. The calculated volume is 30.0 Å³/atom. For the total moment, the calculation gives 0.001 Bohr magnetons per cell. Its density is 8.805 Mg/m³. Its space-group type is P4/mmm, No. 123.

The structure in POSCAR format:
```
LaSm2Au
1.0
3.717 0.000 0.000
0.000 3.717 0.000
0.000 0.000 8.689
La Sm Au
1 2 1
Direct
0.000 0.000 0.000 La
0.500 0.500 0.297 Sm
0.500 0.500 0.703 Sm
0.000 0.000 0.500 Au
```

***

Least stable: #i

***

#i
A relaxed LaSm2Au crystal, computed with PBE-GGA.

Results
The calculation puts the density of states at the Fermi level at 6.1 states/eV/cell. The calculated volume is 31.8 Å³/atom. For the total moment, the calculation gives 0.000 Bohr magnetons per cell. Its density is 8.306 Mg/m³. Its space-group type is R-3m, No. 166.

The structure in POSCAR format:
```
LaSm2Au
1.0
1.884 1.088 10.346
-1.884 1.088 10.346
0.000 -2.176 10.346
La Sm Au
1 2 1
Direct
0.000 0.000 0.000 La
0.235 0.235 0.235 Sm
0.765 0.765 0.765 Sm
0.500 0.500 0.500 Au
```

***

#ii
A relaxed LaSm2Au crystal, computed with PBE-GGA.

Results
The calculation puts the density of states at the Fermi level at 10.7 states/eV/cell. The calculated volume is 30.7 Å³/atom. For the total moment, the calculation gives 0.000 Bohr magnetons per cell. Its density is 8.605 Mg/m³. Its space-group type is Cmcm, No. 63.

The structure in POSCAR format:
```
LaSm2Au
1.0
2.535 -6.147 0.000
2.535 6.147 0.000
0.000 0.000 7.883
La Sm Au
2 4 2
Direct
0.052 0.948 0.750 La
0.948 0.052 0.250 La
0.356 0.644 0.532 Sm
0.356 0.644 0.968 Sm
0.644 0.356 0.032 Sm
0.644 0.356 0.468 Sm
0.200 0.800 0.250 Au
0.800 0.200 0.750 Au
```

***

Least stable: #i

***

#i
A relaxed LaSn3Au2 crystal, computed with PBE-GGA.

Results
The calculation puts the density of states at the Fermi level at 3.5 states/eV/cell. The calculated volume is 25.5 Å³/atom. For the total moment, the calculation gives 0.000 Bohr magnetons per cell. Its density is 9.664 Mg/m³. Its space-group type is C2/m, No. 12.

The structure in POSCAR format:
```
LaSn3Au2
1.0
8.553 -2.296 0.000
8.553 2.296 0.000
-2.926 0.000 7.779
La Sn Au
2 6 4
Direct
0.125 0.125 0.118 La
0.875 0.875 0.882 La
0.034 0.034 0.681 Sn
0.322 0.322 0.144 Sn
0.343 0.343 0.556 Sn
0.657 0.657 0.444 Sn
0.678 0.678 0.856 Sn
0.966 0.966 0.319 Sn
0.203 0.203 0.663 Au
0.497 0.497 0.165 Au
0.503 0.503 0.835 Au
0.797 0.797 0.337 Au
```

***

#ii
A relaxed LaSn3Au2 crystal, computed with PBE-GGA.

Results
The calculation puts the density of states at the Fermi level at 3.2 states/eV/cell. The calculated volume is 25.8 Å³/atom. For the total moment, the calculation gives 0.000 Bohr magnetons per cell. Its density is 9.541 Mg/m³. Its space-group type is C2/m, No. 12.

The structure in POSCAR format:
```
LaSn3Au2
1.0
8.071 -2.452 0.000
8.071 2.452 0.000
-4.616 0.000 7.816
La Sn Au
2 6 4
Direct
0.137 0.137 0.179 La
0.863 0.863 0.821 La
0.036 0.036 0.699 Sn
0.283 0.283 0.968 Sn
0.350 0.350 0.545 Sn
0.650 0.650 0.455 Sn
0.717 0.717 0.032 Sn
0.964 0.964 0.301 Sn
0.188 0.188 0.614 Au
0.483 0.483 0.140 Au
0.517 0.517 0.860 Au
0.812 0.812 0.386 Au
```

***

Least stable: #i

***

#i
A relaxed La2Sn2Au crystal, computed with PBE-GGA.

Results
The calculation puts the density of states at the Fermi level at 9.2 states/eV/cell. The calculated volume is 28.4 Å³/atom. For the total moment, the calculation gives 0.505 Bohr magnetons per cell. Its density is 8.336 Mg/m³. Its space-group type is C2/m, No. 12.

The structure in POSCAR format:
```
La2Sn2Au
1.0
5.829 -2.376 0.000
5.829 2.376 0.000
-5.267 0.000 10.246
La Sn Au
4 4 2
Direct
0.007 0.007 0.330 La
0.183 0.183 0.112 La
0.817 0.817 0.888 La
0.993 0.993 0.670 La
0.352 0.352 0.438 Sn
0.466 0.466 0.113 Sn
0.534 0.534 0.887 Sn
0.648 0.648 0.562 Sn
0.286 0.286 0.662 Au
0.714 0.714 0.338 Au
```

***

#ii
A relaxed La2Sn2Au crystal, computed with PBE-GGA.

Results
The calculation puts the density of states at the Fermi level at 6.5 states/eV/cell. The calculated volume is 32.5 Å³/atom. For the total moment, the calculation gives 0.000 Bohr magnetons per cell. Its density is 7.270 Mg/m³. Its space-group type is P4/mbm, No. 127.

The structure in POSCAR format:
```
La2Sn2Au
1.0
8.429 0.000 0.000
0.000 8.429 0.000
0.000 0.000 4.579
La Sn Au
4 4 2
Direct
0.179 0.321 0.000 La
0.321 0.821 0.000 La
0.679 0.179 0.000 La
0.821 0.679 0.000 La
0.120 0.620 0.500 Sn
0.380 0.120 0.500 Sn
0.620 0.880 0.500 Sn
0.880 0.380 0.500 Sn
0.000 0.000 0.000 Au
0.500 0.500 0.000 Au
```

***

Least stable: #ii

***

#i
A relaxed La2Sn2Au crystal, computed with PBE-GGA.

Results
The calculation puts the density of states at the Fermi level at 5.1 states/eV/cell. The calculated volume is 33.5 Å³/atom. For the total moment, the calculation gives 0.000 Bohr magnetons per cell. Its density is 7.055 Mg/m³. Its space-group type is I4/mmm, No. 139.

The structure in POSCAR format:
```
La2Sn2Au
1.0
-3.146 3.146 4.234
3.146 -3.146 4.234
3.146 3.146 -4.234
La Sn Au
2 2 1
Direct
0.250 0.750 0.500 La
0.750 0.250 0.500 La
0.172 0.172 0.000 Sn
0.828 0.828 0.000 Sn
0.500 0.500 0.000 Au
```

***

#ii
A relaxed La2Sn2Au crystal, computed with PBE-GGA.

Results
The calculation puts the density of states at the Fermi level at 10.1 states/eV/cell. The calculated volume is 28.6 Å³/atom. For the total moment, the calculation gives 0.000 Bohr magnetons per cell. Its density is 8.276 Mg/m³. Its space-group type is P4/mbm, No. 127.

The structure in POSCAR format:
```
La2Sn2Au
1.0
7.646 0.000 0.000
0.000 7.646 0.000
0.000 0.000 4.889
La Sn Au
4 4 2
Direct
0.170 0.330 0.000 La
0.330 0.830 0.000 La
0.670 0.170 0.000 La
0.830 0.670 0.000 La
0.137 0.637 0.500 Sn
0.363 0.137 0.500 Sn
0.637 0.863 0.500 Sn
0.863 0.363 0.500 Sn
0.000 0.000 0.500 Au
0.500 0.500 0.500 Au
```

***

Least stable: #i

***

#i
A relaxed La3SnAu crystal, computed with PBE-GGA.

Results
The calculation puts the density of states at the Fermi level at 6.7 states/eV/cell. The calculated volume is 38.5 Å³/atom. For the total moment, the calculation gives 0.000 Bohr magnetons per cell. Its density is 6.318 Mg/m³. Its space-group type is Pm-3m, No. 221.

The structure in POSCAR format:
```
La3SnAu
1.0
5.774 0.000 0.000
0.000 5.774 0.000
0.000 0.000 5.774
La Sn Au
3 1 1
Direct
0.000 0.000 0.500 La
0.000 0.500 0.000 La
0.500 0.000 0.000 La
0.500 0.500 0.500 Sn
0.000 0.000 0.000 Au
```

***

#ii
A relaxed La3SnAu crystal, computed with PBE-GGA.

Results
The calculation puts the density of states at the Fermi level at 26.3 states/eV/cell. The calculated volume is 32.8 Å³/atom. For the total moment, the calculation gives 0.000 Bohr magnetons per cell. Its density is 7.424 Mg/m³. Its space-group type is C2/c, No. 15.

The structure in POSCAR format:
```
La3SnAu
1.0
6.422 -5.780 0.000
6.422 5.780 0.000
-0.003 0.000 8.826
La Sn Au
12 4 4
Direct
0.005 0.811 0.914 La
0.073 0.427 0.686 La
0.189 0.995 0.586 La
0.308 0.501 0.086 La
0.427 0.073 0.186 La
0.499 0.692 0.414 La
0.501 0.308 0.586 La
0.573 0.927 0.814 La
0.692 0.499 0.914 La
0.811 0.005 0.414 La
0.927 0.573 0.314 La
0.995 0.189 0.086 La
0.158 0.842 0.250 Sn
0.345 0.655 0.750 Sn
0.655 0.345 0.250 Sn
0.842 0.158 0.750 Sn
0.191 0.303 0.373 Au
0.303 0.191 0.873 Au
0.697 0.809 0.127 Au
0.809 0.697 0.627 Au
```

***

Least stable: #i